[1]
Computed, not measured: a relaxed NiAgGe2 crystal at the PBE level of DFT.

Cell: 4.5008 4.5008 4.5008 Å, 60.00 60.00 60.00°
Atoms (fractional coordinates):
Ni (0.0000, 0.0000, 0.0000)
Ge (0.2500, 0.2500, 0.2500)
Ge (0.7500, 0.7500, 0.7500)
Ag (0.5000, 0.5000, 0.5000)

uncorrected energy	-17.0	eV for the cell shown
formation energy	0.21	eV/atom



[2]
Computed, not measured: a relaxed NpU4Pa crystal at the PBE level of DFT.

Cell: 5.6972 5.6972 5.6972 Å, 60.00 60.00 60.00°
Atoms (fractional coordinates):
Np (0.0000, 0.0000, 0.0000)
Pa (0.2500, 0.2500, 0.2500)
U (0.6244, 0.6244, 0.1267)
U (0.6244, 0.1267, 0.6244)
U (0.6244, 0.6244, 0.6244)
U (0.1267, 0.6244, 0.6244)

uncorrected energy	-66.0	eV for the cell shown
formation energy	0.26	eV/atom